1.
ZrTl2AsN, optimized geometry, DFT PBE; space group = No. 123; total DFT energy (no corrections) = -4.359 eV per atom; formation energy (no corrections) = 0.89 eV/atom
1.0
5.777 0.000 0.000
0.000 5.777 0.000
0.000 0.000 3.590
Zr Tl As N
1 2 1 1
Direct
0.000 0.000 0.000
0.000 0.500 0.500
0.500 0.000 0.500
0.500 0.500 0.500
0.500 0.500 0.000

=====

2.
U2As2N, optimized geometry, DFT PBE; space group = No. 72; total DFT energy (no corrections) = -8.934 eV per atom; formation energy (no corrections) = -0.89 eV/atom
1.0
-2.995 5.839 2.829
2.995 -5.839 2.829
2.995 5.839 -2.829
U As N
4 4 2
Direct
0.105 0.207 0.312
0.395 0.707 0.101
0.605 0.293 0.899
0.895 0.793 0.688
0.151 0.681 0.831
0.349 0.181 0.530
0.651 0.819 0.470
0.849 0.319 0.169
0.250 0.250 0.000
0.750 0.750 0.000

=====

3.
UAsN, optimized geometry, DFT PBE; space group = No. 12; total DFT energy (no corrections) = -9.152 eV per atom; formation energy (no corrections) = -1.06 eV/atom; energy above the most stable polymorph in this dataset = 0 meV/atom
1.0
2.679 -2.680 0.000
2.679 2.680 0.000
-0.025 0.000 6.910
U As N
2 2 2
Direct
0.249 0.249 0.326
0.751 0.751 0.674
0.253 0.253 0.878
0.747 0.747 0.122
0.250 0.750 0.500
0.750 0.250 0.500

=====

4.
UAsN, optimized geometry, DFT PBE; space group = No. 187; total DFT energy (no corrections) = -8.994 eV per atom; formation energy (no corrections) = -0.91 eV/atom; energy above the most stable polymorph in this dataset = 158 meV/atom
1.0
3.764 0.000 0.000
-1.882 3.260 0.000
0.000 0.000 4.147
U As N
1 1 1
Direct
0.000 0.000 0.000
0.667 0.333 0.500
0.333 0.667 0.000